(1)
An optimized crystal structure of BaPrZn2Au2. Source: Alexandria via LeMat-Bulk, functional PBE.

formation energy from the elements = -3.62 eV per formula unit
energy = -3.24 eV per atom
Fermi-level density of states = 2.6 states/eV/f.u.

The structure in CIF format:
```
data_BaPrZn2Au2
_chemical_formula_sum 'Ba1 Pr1 Zn2 Au2'
_cell_length_a 4.6833
_cell_length_b 4.6833
_cell_length_c 8.1760
_cell_angle_alpha 90.00
_cell_angle_beta 90.00
_cell_angle_gamma 120.00
_symmetry_space_group_name_H-M 'P -3 m 1'
_symmetry_Int_Tables_number 164
_symmetry_space_group_name_Hall '-P 3 2"'
loop_
_atom_site_label
_atom_site_fract_x
_atom_site_fract_y
_atom_site_fract_z
_atom_site_occupancy
Ba1 0.0000 0.0000 0.0000 1
Pr1 0.0000 0.0000 0.5000 1
Zn1 0.3333 0.6667 0.7118 1
Au1 0.3333 0.6667 0.2899 1
```

(2)
An optimized crystal structure of ScSb2Ir. Source: Alexandria via LeMat-Bulk, functional PBE.

energy relative to the lowest polymorph listed for this composition = 269.8 meV/atom
energy = -6.01 eV per atom
energy relative to the elements, uncorrected = -0.154 eV per atom
Fermi-level density of states = 4.6 states/eV/f.u.

The structure in CIF format:
```
data_ScSb2Ir
_chemical_formula_sum 'Sc4 Sb8 Ir4'
_cell_length_a 6.890
_cell_length_b 6.890
_cell_length_c 6.890
_cell_angle_alpha 90.00
_cell_angle_beta 90.00
_cell_angle_gamma 90.00
_symmetry_space_group_name_H-M 'F m -3 m'
_symmetry_Int_Tables_number 225
_symmetry_space_group_name_Hall '-F 4 2 3'
loop_
_atom_site_label
_atom_site_fract_x
_atom_site_fract_y
_atom_site_fract_z
_atom_site_occupancy
Sc1 0.000 0.000 0.000 1
Sb1 0.250 0.250 0.250 1
Ir1 0.000 0.000 0.500 1
```

(3)
An optimized crystal structure of TlBi2W. Source: Alexandria via LeMat-Bulk, functional PBE.

energy relative to the lowest polymorph listed for this composition = 0.0 meV/atom
formation energy from the elements = 3.77 eV per formula unit
energy = -4.83 eV per atom
Fermi-level density of states = 2.8 states/eV/f.u.

The structure in CIF format:
```
data_TlBi2W
_chemical_formula_sum 'Tl4 Bi8 W4'
_cell_length_a 7.453
_cell_length_b 7.453
_cell_length_c 7.453
_cell_angle_alpha 90.00
_cell_angle_beta 90.00
_cell_angle_gamma 90.00
_symmetry_space_group_name_H-M 'F m -3 m'
_symmetry_Int_Tables_number 225
_symmetry_space_group_name_Hall '-F 4 2 3'
loop_
_atom_site_label
_atom_site_fract_x
_atom_site_fract_y
_atom_site_fract_z
_atom_site_occupancy
Tl1 0.000 0.000 0.000 1
Bi1 0.250 0.250 0.250 1
W1 0.000 0.000 0.500 1
```

(4)
An optimized crystal structure of ErBeF5. Source: Alexandria via LeMat-Bulk, functional PBE.

energy = -6.29 eV per atom
energy relative to the elements, uncorrected = -3.769 eV per atom
Fermi-level density of states = 0.0 states/eV/f.u.

The structure in CIF format:
```
data_ErBeF5
_chemical_formula_sum 'Er4 Be4 F20'
_cell_length_a 8.022
_cell_length_b 7.817
_cell_length_c 8.080
_cell_angle_alpha 90.00
_cell_angle_beta 118.28
_cell_angle_gamma 90.00
_symmetry_space_group_name_H-M 'C 1 2/c 1'
_symmetry_Int_Tables_number 15
loop_
_symmetry_equiv_pos_as_xyz
'x,y,z'
'-x,-y,-z'
'-x,y,-z+1/2'
'x,-y,z+1/2'
'x+1/2,y+1/2,z'
'-x+1/2,-y+1/2,-z'
'-x+1/2,y+1/2,-z+1/2'
'x+1/2,-y+1/2,z+1/2'
loop_
_atom_site_label
_atom_site_fract_x
_atom_site_fract_y
_atom_site_fract_z
_atom_site_occupancy
Er1 0.250 0.250 0.000 1
Be1 0.000 0.126 0.250 1
F1 0.000 0.332 0.750 1
F2 0.089 0.238 0.152 1
F3 0.158 0.008 0.401 1
```

(5)
An optimized crystal structure of TbLuPuIn. Source: Alexandria via LeMat-Bulk, functional PBE.

formation energy from the elements = -0.18 eV per formula unit
energy = -6.60 eV per atom
Fermi-level density of states = 8.4 states/eV/f.u.

The structure in CIF format:
```
data_TbLuPuIn
_chemical_formula_sum 'Tb4 Lu4 Pu4 In4'
_cell_length_a 7.629
_cell_length_b 7.629
_cell_length_c 7.629
_cell_angle_alpha 90.00
_cell_angle_beta 90.00
_cell_angle_gamma 90.00
_symmetry_space_group_name_H-M 'F -4 3 m'
_symmetry_Int_Tables_number 216
_symmetry_space_group_name_Hall 'F -4 2 3'
loop_
_atom_site_label
_atom_site_fract_x
_atom_site_fract_y
_atom_site_fract_z
_atom_site_occupancy
Tb1 0.000 0.000 0.000 1
Lu1 0.250 0.250 0.750 1
Pu1 0.000 0.000 0.500 1
In1 0.250 0.250 0.250 1
```

(6)
An optimized crystal structure of CaNbSN2. Source: Alexandria via LeMat-Bulk, functional PBE.

energy relative to the lowest polymorph listed for this composition = 2163.9 meV/atom
energy = -5.09 eV per atom
energy relative to the elements, uncorrected = 1.483 eV per atom
Fermi-level density of states = 6.9 states/eV/f.u.

The structure in CIF format:
```
data_CaNbSN2
_chemical_formula_sum 'Ca1 Nb1 S1 N2'
_cell_length_a 4.067
_cell_length_b 4.067
_cell_length_c 5.045
_cell_angle_alpha 90.00
_cell_angle_beta 90.00
_cell_angle_gamma 90.00
_symmetry_space_group_name_H-M 'P 4/m m m'
_symmetry_Int_Tables_number 123
_symmetry_space_group_name_Hall '-P 4 2'
loop_
_atom_site_label
_atom_site_fract_x
_atom_site_fract_y
_atom_site_fract_z
_atom_site_occupancy
Ca1 0.000 0.000 0.000 1
Nb1 0.500 0.500 0.500 1
S1 0.000 0.000 0.500 1
N1 0.000 0.500 0.000 1
```

(7)
An optimized crystal structure of TbSm4Dy6. Source: Alexandria via LeMat-Bulk, functional PBE.

energy relative to the lowest polymorph listed for this composition = 136.6 meV/atom
formation energy from the elements = 4.83 eV per formula unit
energy = -4.21 eV per atom
Fermi-level density of states = 13.2 states/eV/f.u.

The structure in CIF format:
```
data_TbSm4Dy6
_chemical_formula_sum 'Tb2 Sm8 Dy12'
_cell_length_a 7.643
_cell_length_b 7.643
_cell_length_c 13.139
_cell_angle_alpha 90.00
_cell_angle_beta 90.00
_cell_angle_gamma 90.00
_symmetry_space_group_name_H-M 'I -4 2 m'
_symmetry_Int_Tables_number 121
_symmetry_space_group_name_Hall 'I -4 2'
loop_
_atom_site_label
_atom_site_fract_x
_atom_site_fract_y
_atom_site_fract_z
_atom_site_occupancy
Tb1 0.000 0.000 0.000 1
Sm1 0.173 0.173 0.424 1
Dy1 0.000 0.500 0.000 1
Dy2 0.240 0.240 0.185 1
```

(8)
An optimized crystal structure of TcAgSbTe2. Source: Alexandria via LeMat-Bulk, functional PBE.

energy relative to the lowest polymorph listed for this composition = 0.0 meV/atom
energy = -4.12 eV per atom
energy relative to the elements, uncorrected = 0.600 eV per atom
Fermi-level density of states = 5.1 states/eV/f.u.

The structure in CIF format:
```
data_TcAgSbTe2
_chemical_formula_sum 'Tc1 Ag1 Sb1 Te2'
_cell_length_a 5.255
_cell_length_b 5.255
_cell_length_c 5.158
_cell_angle_alpha 90.00
_cell_angle_beta 90.00
_cell_angle_gamma 90.00
_symmetry_space_group_name_H-M 'P 4/m m m'
_symmetry_Int_Tables_number 123
_symmetry_space_group_name_Hall '-P 4 2'
loop_
_atom_site_label
_atom_site_fract_x
_atom_site_fract_y
_atom_site_fract_z
_atom_site_occupancy
Tc1 0.000 0.000 0.000 1
Ag1 0.500 0.500 0.500 1
Sb1 0.000 0.000 0.500 1
Te1 0.000 0.500 0.000 1
```

(9)
An optimized crystal structure of RbMn2Cl6. Source: Alexandria via LeMat-Bulk, functional PBE.

energy = -4.34 eV per atom
energy relative to the elements, uncorrected = -0.964 eV per atom
Fermi-level density of states = 7.4 states/eV/f.u.

The structure in CIF format:
```
data_RbMn2Cl6
_chemical_formula_sum 'Rb1 Mn2 Cl6'
_cell_length_a 6.0713
_cell_length_b 6.0713
_cell_length_c 7.4811
_cell_angle_alpha 90.00
_cell_angle_beta 90.00
_cell_angle_gamma 120.00
_symmetry_space_group_name_H-M 'P -3 1 m'
_symmetry_Int_Tables_number 162
_symmetry_space_group_name_Hall '-P 3 2'
loop_
_atom_site_label
_atom_site_fract_x
_atom_site_fract_y
_atom_site_fract_z
_atom_site_occupancy
Rb1 0.0000 0.0000 0.0000 1
Mn1 0.3333 0.6667 0.5000 1
Cl1 0.0000 0.3711 0.6754 1
```

(10)
An optimized crystal structure of TbSm3Pt8. Source: Alexandria via LeMat-Bulk, functional PBE.

formation energy from the elements = -12.47 eV per formula unit
energy = -6.63 eV per atom
Fermi-level density of states = 5.1 states/eV/f.u.

The structure in CIF format:
```
data_TbSm3Pt8
_chemical_formula_sum 'Tb1 Sm3 Pt8'
_cell_length_a 5.4893
_cell_length_b 5.4893
_cell_length_c 8.9639
_cell_angle_alpha 90.00
_cell_angle_beta 90.00
_cell_angle_gamma 120.00
_symmetry_space_group_name_H-M 'P 3 m 1'
_symmetry_Int_Tables_number 156
loop_
_symmetry_equiv_pos_as_xyz
'x,y,z'
'-y,x-y,z'
'-x+y,-x,z'
'-y,-x,z'
'-x+y,y,z'
'x,x-y,z'
loop_
_atom_site_label
_atom_site_fract_x
_atom_site_fract_y
_atom_site_fract_z
_atom_site_occupancy
Tb1 0.0000 0.0000 0.0000 1
Sm1 0.0000 0.0000 0.3689 1
Sm2 0.6667 0.3333 0.5018 1
Sm3 0.6667 0.3333 0.8727 1
Pt1 0.1644 0.3288 0.6870 1
Pt2 0.3333 0.6667 0.4365 1
Pt3 0.3333 0.6667 0.9362 1
Pt4 0.5019 0.0039 0.1850 1
```

(11)
An optimized crystal structure of TlRu2C. Source: Alexandria via LeMat-Bulk, functional PBE.

energy relative to the lowest polymorph listed for this composition = 0.0 meV/atom
formation energy from the elements = 2.33 eV per formula unit
energy = -6.95 eV per atom
Fermi-level density of states = 5.1 states/eV/f.u.

The structure in CIF format:
```
data_TlRu2C
_chemical_formula_sum 'Tl4 Ru8 C4'
_cell_length_a 6.485
_cell_length_b 6.485
_cell_length_c 5.739
_cell_angle_alpha 90.00
_cell_angle_beta 90.00
_cell_angle_gamma 90.00
_symmetry_space_group_name_H-M 'I -4 2 d'
_symmetry_Int_Tables_number 122
_symmetry_space_group_name_Hall 'I -4 2bw'
loop_
_atom_site_label
_atom_site_fract_x
_atom_site_fract_y
_atom_site_fract_z
_atom_site_occupancy
Tl1 0.000 0.000 0.000 1
Ru1 0.140 0.250 0.625 1
C1 0.000 0.000 0.500 1
```

(12)
An optimized crystal structure of Rb5Cu3O3. Source: Alexandria via LeMat-Bulk, functional PBE.

energy = -3.52 eV per atom
energy relative to the elements, uncorrected = -0.611 eV per atom
Fermi-level density of states = 2.6 states/eV/f.u.

The structure in CIF format:
```
data_Rb5Cu3O3
_chemical_formula_sum 'Rb5 Cu3 O3'
_cell_length_a 9.4702
_cell_length_b 9.4702
_cell_length_c 3.7487
_cell_angle_alpha 90.00
_cell_angle_beta 90.00
_cell_angle_gamma 120.00
_symmetry_space_group_name_H-M 'P -6 2 m'
_symmetry_Int_Tables_number 189
_symmetry_space_group_name_Hall 'P -6 -2'
loop_
_atom_site_label
_atom_site_fract_x
_atom_site_fract_y
_atom_site_fract_z
_atom_site_occupancy
Rb1 0.0000 0.7529 0.0000 1
Rb2 0.3333 0.6667 0.0000 1
Cu1 0.0000 0.3758 0.5000 1
O1 0.0000 0.3738 0.0000 1
```